Below is a relaxed BaCoSeO crystal, with properties calculated at the PBE+U level.

a b c (Å): 6.4337 9.1610 6.1912
angles (deg): 90.00 90.00 90.00
Closest atoms and distances in Å follow each position.
Atoms (fractional coordinates):
Ba 0.0201 0.1977 0.0000  1 O 2.70
Ba 0.4799 0.1977 0.5000  1 O 2.70
Ba 0.5201 0.8023 0.0000  1 O 2.70
Ba 0.9799 0.8023 0.5000  1 O 2.70
Co 0.1009 0.5680 0.9585  3 O 2.00-2.13
Co 0.3991 0.5680 0.4585  3 O 2.00-2.13
Co 0.6009 0.4320 0.9585  3 O 2.00-2.13
Co 0.8991 0.4320 0.4585  3 O 2.00-2.13
Se 0.0212 0.8365 0.9978  1 Co 2.52
Se 0.4788 0.8365 0.4978  1 Co 2.52
Se 0.5212 0.1635 0.9978  1 Co 2.52
Se 0.9788 0.1635 0.4978  1 Co 2.52
O 0.1245 0.5372 0.6186  3 Co 2.00-2.13
O 0.3755 0.5372 0.1186  3 Co 2.00-2.13
O 0.6245 0.4628 0.6186  3 Co 2.00-2.13
O 0.8755 0.4628 0.1186  3 Co 2.00-2.13

Calculated values
uncorrected energy = -5.2734 eV/atom